Entry from Alexandria: a geometry-optimized Bi2WO6 structure (GGA+U).

Results
Distance to the lowest polymorph of the same formula, meV per atom: 61
SG: P4_2/mnm, No. 136
Total energy, eV per atom: -6.546

Cell lengths 5.1256, 5.1256, 10.3756 Å; angles 90.00, 90.00, 90.00 degrees
Atoms (fractional coordinates):
Bi (0.0000, 0.0000, 0.1648)
Bi (0.0000, 0.0000, 0.8352)
Bi (0.5000, 0.5000, 0.3352)
Bi (0.5000, 0.5000, 0.6648)
W (0.0000, 0.0000, 0.5000)
W (0.5000, 0.5000, 0.0000)
O (0.1812, 0.1812, 0.3600)
O (0.1812, 0.1812, 0.6400)
O (0.2265, 0.2265, 0.0000)
O (0.2735, 0.7265, 0.5000)
O (0.3188, 0.6812, 0.1400)
O (0.3188, 0.6812, 0.8600)
O (0.6812, 0.3188, 0.1400)
O (0.6812, 0.3188, 0.8600)
O (0.7265, 0.2735, 0.5000)
O (0.7735, 0.7735, 0.0000)
O (0.8188, 0.8188, 0.3600)
O (0.8188, 0.8188, 0.6400)